Computed, not measured: a relaxed structure of Zr5TcNi2 at the GGA-PBE level of DFT.

The space group is I4/mcm (No. 140) and the conventional cell measures 6.5888, 6.5888 and 13.9952 Å, with angles of 90.00, 90.00 and 90.00 degrees. The inequivalent atoms are Zr at (0.0000, 0.0000, 0.0000), Zr at (0.1711, 0.3289, 0.1496), Tc at (0.0000, 0.0000, 0.2500) and Ni at (0.1268, 0.3732, 0.5000).

As for the total magnetization: 0.00 μB per formula unit. The value obtained for the raw total energy is -8.374 eV per atom. Its calculated formation energy is -28.00 kJ/mol of atoms.



Computed, not measured: a relaxed structure of HfTiAsBr2 at the GGA-PBE level of DFT.

The space group is P4/mmm (No. 123) and the conventional cell measures 4.8485, 4.8485 and 5.2657 Å, with angles of 90.00, 90.00 and 90.00 degrees. The inequivalent atoms are Hf at (0.0000, 0.0000, 0.0000), Ti at (0.5000, 0.5000, 0.5000), As at (0.5000, 0.5000, 0.0000) and Br at (0.0000, 0.5000, 0.5000).

As for the total magnetization: 1.64 μB per formula unit. The value obtained for the raw total energy is -4.990 eV per atom. The uncorrected formation energy comes out at 179 meV/atom. The energy above the most stable polymorph in this dataset comes out at 0 meV/atom.



Computed, not measured: a relaxed structure of CeMgNi5As2 at the GGA-PBE level of DFT.

The space group is P4/mmm (No. 123) and the conventional cell measures 4.0595, 4.0595 and 8.0789 Å, with angles of 90.00, 90.00 and 90.00 degrees. The inequivalent atoms are Ce at (0.0000, 0.0000, 0.0000), Mg at (0.0000, 0.0000, 0.5000), Ni at (0.0000, 0.5000, 0.3037), Ni at (0.5000, 0.5000, 0.5000) and As at (0.5000, 0.5000, 0.1671).

As for the total magnetization: 0.70 μB per formula unit. The value obtained for the raw total energy is -5.561 eV per atom. Its calculated formation energy is -46.26 kJ/mol of atoms.



Computed, not measured: a relaxed structure of MnCuPd4 at the GGA-PBE level of DFT.

The space group is P-1 (No. 2) and the conventional cell measures 3.7651, 4.8319 and 5.5841 Å, with angles of 106.81, 90.09 and 112.91 degrees. The inequivalent atoms are Mn at (0.0000, 0.0000, 0.0000), Cu at (0.0000, 0.0000, 0.5000), Pd at (0.3377, 0.6754, 0.6689) and Pd at (0.3391, 0.6782, 0.1723).

As for the total magnetization: 4.67 μB per formula unit. The value obtained for the raw total energy is -5.828 eV per atom. The energy above the most stable polymorph in this dataset comes out at 0 meV/atom. Its calculated formation energy is -14.94 kJ/mol of atoms.